KInSn2 | GGA-PBE | optimized geometry

The structure in extended XYZ format:
```
8
Lattice="5.7986 0.0000 0.0000 -2.8993 6.1003 0.0000 0.0000 0.0000 7.2855" Properties=species:S:1:pos:R:3 pbc="T T T"
K 2.8993 4.9706 1.8214
K 0.0000 1.1297 5.4642
In 0.0000 2.3855 1.8214
In 2.8993 3.7148 5.4642
Sn 0.0000 4.6546 6.9344
Sn 2.8993 1.4457 0.3512
Sn 2.8993 1.4457 3.2916
Sn 0.0000 4.6546 3.9939
```

Computed properties:
E_tot = -3.0668 eV/atom
space-group type = Cmcm

=====

LiAcCN2 | GGA-PBE | optimized geometry

The structure in extended XYZ format:
```
10
Lattice="3.8554 0.0000 0.0000 0.0000 6.1833 0.2959 0.0000 -1.5404 6.0623" Properties=species:S:1:pos:R:3 pbc="T T T"
Li 1.8121 -0.3851 1.5156
Li 2.0432 -1.1553 4.5467
Ac 0.9197 1.9363 4.6947
Ac 2.9357 2.7065 1.6635
C 0.0000 0.0000 0.0000
C 0.0000 -0.7702 3.0311
N 3.0593 3.6872 6.1983
N 3.0593 0.1855 3.1910
N 0.7961 4.4573 3.1671
N 0.7961 0.9557 0.1599
```

Computed properties:
formation energy from raw total energies = -0.3725 eV/atom
space-group type = P2/c

=====

Li2AlWN4 | GGA-PBE | optimized geometry

The structure in extended XYZ format:
```
8
Lattice="-4.1895 -0.0247 -2.2096 0.7603 -4.4634 -1.3919 -0.2233 0.7631 5.4918" Properties=species:S:1:pos:R:3 pbc="T T T"
Li -1.5028 -3.6704 2.8910
Li -0.9145 -0.6990 1.7412
Al -3.9779 -1.4515 2.4820
W -2.6289 -2.9427 -0.0594
N -2.4579 -2.1913 1.6508
N -3.3462 -1.6824 -1.2494
N -0.9475 -3.4662 -0.7056
N -0.3347 0.0573 3.6679
```

Computed properties:
formation energy from raw total energies = -0.5880 eV/atom
space-group type = I-4

=====

Mo3Pt | GGA-PBE | optimized geometry

The structure in extended XYZ format:
```
4
Lattice="-4.7055 -0.3299 1.2058 1.2485 -1.0024 4.5980 -0.0633 4.7530 1.0534" Properties=species:S:1:pos:R:3 pbc="T T T"
Mo -0.0317 2.3765 0.5267
Mo 0.6243 -0.5012 2.2990
Mo -2.3528 -0.1650 0.6029
Pt 0.0000 0.0000 0.0000
```

Computed properties:
relative energy among the computed polymorphs = 268.53 kJ per mole of atoms
space-group type = Pm-3m

=====

LiTa3S | GGA-PBE | optimized geometry

The structure in extended XYZ format:
```
5
Lattice="-3.3162 2.2135 2.2562 -1.8191 -4.0109 1.2612 2.5847 0.0171 3.7823" Properties=species:S:1:pos:R:3 pbc="T T T"
S 0.0000 0.0000 0.0000
Li -1.2753 -0.8902 3.6499
Ta -0.9096 -2.0054 0.6306
Ta 1.2924 0.0085 1.8912
Ta -1.6581 1.1068 1.1281
```

Computed properties:
relative energy among the computed polymorphs = 0.00 kJ per mole of atoms
formation energy from raw total energies = 0.4773 eV/atom
space-group type = Pm-3m

=====

SrSiP2 | GGA-PBE | optimized geometry

The structure in extended XYZ format:
```
4
Lattice="-2.3006 0.2949 5.0297 0.7270 -4.7750 2.7106 2.5469 4.3531 -2.2893" Properties=species:S:1:pos:R:3 pbc="T T T"
P -1.4828 -4.2218 7.2940
P -0.2700 1.2046 3.3043
Si -0.8716 -2.4815 4.2872
Sr 1.2375 -1.3485 2.1760
```

Computed properties:
formation energy from raw total energies = -0.0705 eV/atom
space-group type = Imm2